NbTc3C | PBE | optimized geometry

Results
Crystal system: cubic
Energy above the lowest structure with this stoichiometry: 3207 meV per atom
Formation energy from the elements: 300.6 kJ per mole of atoms
Energy: -34.8 eV per cell

POSCAR file:
```
NbTc3C
1.0
4.724 0.000 0.000
0.000 4.724 0.000
0.000 0.000 4.724
Tc Nb C
3 1 1
direct
0.000 0.500 0.000 Tc
0.500 0.000 0.000 Tc
0.000 0.000 0.500 Tc
0.000 0.000 0.000 Nb
0.500 0.500 0.500 C
```